Record 1
Density functional theory data (GGA-PBE) for a relaxed structure of Tb5TcAu2.

Lattice parameters (Å, degrees): 4.679 7.404 11.812 90.00 90.00 90.00
Fractional coordinates of all 16 atoms:
Au 0.500 0.071 0.336
Au 0.500 0.429 0.836
Au 0.500 0.929 0.664
Au 0.500 0.571 0.164
Tb 0.000 0.000 0.500
Tb 0.000 0.652 0.707
Tb 0.000 0.348 0.293
Tb 0.000 0.848 0.207
Tb 0.500 0.682 0.418
Tb 0.500 0.318 0.582
Tb 0.500 0.182 0.082
Tb 0.000 0.152 0.793
Tb 0.500 0.818 0.918
Tb 0.000 0.500 0.000
Tc 0.000 0.000 0.000
Tc 0.000 0.500 0.500

Output
energy of formation = -0.4533 eV per atom
space group = No. 55
raw total energy = -5.46 eV/atom

Record 2
Density functional theory data (GGA-PBE) for a relaxed structure of Na2Sb3Au2.

Lattice parameters (Å, degrees): 4.444 6.208 7.675 111.10 90.00 110.97
Fractional coordinates of all 7 atoms:
Sb 0.385 0.770 0.536
Sb 0.615 0.230 0.464
Sb 0.500 0.000 0.000
Au 0.139 0.277 0.251
Au 0.861 0.723 0.749
Na 0.842 0.685 0.183
Na 0.158 0.315 0.817

Output
E_form (uncorrected) = -5.02 kcal/mol of atoms
space group = No. 12
raw total energy = -3.30 eV/atom

Calculated density in order - 10.4; 7.3 g/cm³